10
Lattice="-0.943 0.409 5.359 1.682 -5.145 0.689 2.725 0.945 0.407" Properties=species:S:1:pos:R:3 comment="Li2CoO2 | Alexandria | GGA+U | relaxed" total_magnetization_mub_per_cell=5.04 volume_a3_per_atom=8.7 dos_at_fermi_per_ev_fu=1.8 spacegroup="P4/mbm, No. 127" de_polymorph_mev_per_atom=257.0 pbc="T T T"
Co 0.000 0.000 0.000
Co 0.370 -2.368 3.024
O 1.074 -4.066 2.251
O 0.383 -3.189 4.841
O -0.335 -0.670 3.796
O 0.356 -1.547 1.207
Li 2.304 -2.746 1.373
Li 2.215 -3.709 4.209
Li 1.160 -1.044 5.081
Li 1.249 -0.081 2.246